Density functional theory data (PBE) for an optimized crystal structure of MnBeFeNiPb.

Values from the calculation:
Calculated volume in A^3/atom: 14.7
Energy of formation in meV/atom: 258
Fermi-level density of states in states/eV per cell: 11.630

Geometry as CIF:
```
data_MnBeFeNiPb
_space_group_name_H-M_alt 'A m m 2'
_space_group_IT_number 38
_cell_length_a 3.3912
_cell_length_b 3.4022
_cell_length_c 12.7033
_cell_angle_alpha 90.00
_cell_angle_beta 90.00
_cell_angle_gamma 90.00
loop_
_space_group_symop_operation_xyz
'x,y,z'
'-x,-y,z'
'-x,y,z'
'x,-y,z'
'x,y+1/2,z+1/2'
'-x,-y+1/2,z+1/2'
'-x,y+1/2,z+1/2'
'x,-y+1/2,z+1/2'
loop_
_atom_site_label
_atom_site_fract_x
_atom_site_fract_y
_atom_site_fract_z
_atom_site_occupancy
Mn1 0.0000 0.0000 0.0000 1
Be1 0.0000 0.0000 0.6287 1
Fe1 0.5000 0.0000 0.4964 1
Ni1 0.5000 0.0000 0.1463 1
Pb1 0.5000 0.0000 0.8157 1
```

---

Density functional theory data (PBE) for an optimized crystal structure of MnBeFeNiPb.

Values from the calculation:
Calculated volume in A^3/atom: 14.9
Energy of formation in meV/atom: 299
Fermi-level density of states in states/eV per cell: 8.992

Geometry as CIF:
```
data_MnBeFeNiPb
_space_group_name_H-M_alt 'C 1 m 1'
_space_group_IT_number 8
_cell_length_a 7.9429
_cell_length_b 3.0893
_cell_length_c 6.1606
_cell_angle_alpha 90.00
_cell_angle_beta 98.54
_cell_angle_gamma 90.00
loop_
_space_group_symop_operation_xyz
'x,y,z'
'x,-y,z'
'x+1/2,y+1/2,z'
'x+1/2,-y+1/2,z'
loop_
_atom_site_label
_atom_site_fract_x
_atom_site_fract_y
_atom_site_fract_z
_atom_site_occupancy
Mn1 0.0000 0.0000 0.0000 1
Be1 0.4075 0.5000 0.3653 1
Fe1 0.2986 0.0000 0.1103 1
Ni1 0.1098 0.5000 0.2930 1
Pb1 0.1842 0.5000 0.7179 1
```

---

Density functional theory data (PBE) for an optimized crystal structure of MnBeFeNiPb.

Values from the calculation:
Calculated volume in A^3/atom: 13.8
Energy of formation in meV/atom: 275
Fermi-level density of states in states/eV per cell: 2.824

Geometry as CIF:
```
data_MnBeFeNiPb
_space_group_name_H-M_alt 'P 3 m 1'
_space_group_IT_number 156
_cell_length_a 3.7246
_cell_length_b 3.7246
_cell_length_c 5.7363
_cell_angle_alpha 90.00
_cell_angle_beta 90.00
_cell_angle_gamma 120.00
loop_
_space_group_symop_operation_xyz
'x,y,z'
'-y,x-y,z'
'-x+y,-x,z'
'-y,-x,z'
'-x+y,y,z'
'x,x-y,z'
loop_
_atom_site_label
_atom_site_fract_x
_atom_site_fract_y
_atom_site_fract_z
_atom_site_occupancy
Mn1 0.0000 0.0000 0.0000 1
Be1 0.3333 0.6667 0.2186 1
Fe1 0.6667 0.3333 0.1153 1
Ni1 0.0000 0.0000 0.4053 1
Pb1 0.3333 0.6667 0.6947 1
```

---

Density functional theory data (PBE) for an optimized crystal structure of MnBeFeNiPb.

Values from the calculation:
Calculated volume in A^3/atom: 14.0
Energy of formation in meV/atom: 317
Fermi-level density of states in states/eV per cell: 7.742

Geometry as CIF:
```
data_MnBeFeNiPb
_space_group_name_H-M_alt 'C 1 m 1'
_space_group_IT_number 8
_cell_length_a 6.4266
_cell_length_b 3.7196
_cell_length_c 6.2353
_cell_angle_alpha 90.00
_cell_angle_beta 109.74
_cell_angle_gamma 90.00
loop_
_space_group_symop_operation_xyz
'x,y,z'
'x,-y,z'
'x+1/2,y+1/2,z'
'x+1/2,-y+1/2,z'
loop_
_atom_site_label
_atom_site_fract_x
_atom_site_fract_y
_atom_site_fract_z
_atom_site_occupancy
Mn1 0.0000 0.0000 0.0000 1
Be1 0.2562 0.0000 0.7664 1
Fe1 0.1262 0.5000 0.8776 1
Ni1 0.3701 0.5000 0.6058 1
Pb1 0.4413 0.0000 0.3204 1
```

---

Density functional theory data (PBE) for an optimized crystal structure of MnBeFeNiPb.

Values from the calculation:
Calculated volume in A^3/atom: 13.9
Energy of formation in meV/atom: 296
Fermi-level density of states in states/eV per cell: 3.186

Geometry as CIF:
```
data_MnBeFeNiPb
_space_group_name_H-M_alt 'C 1 m 1'
_space_group_IT_number 8
_cell_length_a 7.0633
_cell_length_b 4.0486
_cell_length_c 5.4300
_cell_angle_alpha 90.00
_cell_angle_beta 116.15
_cell_angle_gamma 90.00
loop_
_space_group_symop_operation_xyz
'x,y,z'
'x,-y,z'
'x+1/2,y+1/2,z'
'x+1/2,-y+1/2,z'
loop_
_atom_site_label
_atom_site_fract_x
_atom_site_fract_y
_atom_site_fract_z
_atom_site_occupancy
Mn1 0.0000 0.0000 0.0000 1
Be1 0.1173 0.5000 0.8492 1
Fe1 0.3900 0.0000 0.1694 1
Ni1 0.2295 0.0000 0.6873 1
Pb1 0.3081 0.5000 0.4236 1
```

---

Density functional theory data (PBE) for an optimized crystal structure of MnBeFeNiPb.

Values from the calculation:
Calculated volume in A^3/atom: 15.3
Energy of formation in meV/atom: 353
Fermi-level density of states in states/eV per cell: 10.251

Geometry as CIF:
```
data_MnBeFeNiPb
_space_group_name_H-M_alt 'C 1 m 1'
_space_group_IT_number 8
_cell_length_a 8.3395
_cell_length_b 3.2492
_cell_length_c 5.6683
_cell_angle_alpha 90.00
_cell_angle_beta 95.21
_cell_angle_gamma 90.00
loop_
_space_group_symop_operation_xyz
'x,y,z'
'x,-y,z'
'x+1/2,y+1/2,z'
'x+1/2,-y+1/2,z'
loop_
_atom_site_label
_atom_site_fract_x
_atom_site_fract_y
_atom_site_fract_z
_atom_site_occupancy
Mn1 0.0000 0.0000 0.0000 1
Be1 0.4146 0.5000 0.3935 1
Fe1 0.1114 0.5000 0.2927 1
Ni1 0.3060 0.0000 0.1596 1
Pb1 0.2006 0.5000 0.7489 1
```

---

Density functional theory data (PBE) for an optimized crystal structure of MnBeFeNiPb.

Values from the calculation:
Calculated volume in A^3/atom: 13.9
Energy of formation in meV/atom: 341
Fermi-level density of states in states/eV per cell: 12.397

Geometry as CIF:
```
data_MnBeFeNiPb
_space_group_name_H-M_alt 'I m m 2'
_space_group_IT_number 44
_cell_length_a 3.1982
_cell_length_b 3.8662
_cell_length_c 11.2047
_cell_angle_alpha 90.00
_cell_angle_beta 90.00
_cell_angle_gamma 90.00
loop_
_space_group_symop_operation_xyz
'x,y,z'
'-x,-y,z'
'-x,y,z'
'x,-y,z'
'x+1/2,y+1/2,z+1/2'
'-x+1/2,-y+1/2,z+1/2'
'-x+1/2,y+1/2,z+1/2'
'x+1/2,-y+1/2,z+1/2'
loop_
_atom_site_label
_atom_site_fract_x
_atom_site_fract_y
_atom_site_fract_z
_atom_site_occupancy
Mn1 0.0000 0.0000 0.0000 1
Be1 0.0000 0.0000 0.5194 1
Fe1 0.0000 0.5000 0.6396 1
Ni1 0.0000 0.5000 0.8736 1
Pb1 0.0000 0.5000 0.2509 1
```

---

Density functional theory data (PBE) for an optimized crystal structure of MnBeFeNiPb.

Values from the calculation:
Calculated volume in A^3/atom: 14.3
Energy of formation in meV/atom: 201
Fermi-level density of states in states/eV per cell: 3.697

Geometry as CIF:
```
data_MnBeFeNiPb
_space_group_name_H-M_alt 'P 3 m 1'
_space_group_IT_number 156
_cell_length_a 3.8811
_cell_length_b 3.8811
_cell_length_c 5.4824
_cell_angle_alpha 90.00
_cell_angle_beta 90.00
_cell_angle_gamma 120.00
loop_
_space_group_symop_operation_xyz
'x,y,z'
'-y,x-y,z'
'-x+y,-x,z'
'-y,-x,z'
'-x+y,y,z'
'x,x-y,z'
loop_
_atom_site_label
_atom_site_fract_x
_atom_site_fract_y
_atom_site_fract_z
_atom_site_occupancy
Mn1 0.0000 0.0000 0.0000 1
Be1 0.6667 0.3333 0.2479 1
Fe1 0.3333 0.6667 0.1880 1
Ni1 0.0000 0.0000 0.4302 1
Pb1 0.3333 0.6667 0.6902 1
```

---

Density functional theory data (PBE) for an optimized crystal structure of MnBeFeNiPb.

Values from the calculation:
Calculated volume in A^3/atom: 14.5
Energy of formation in meV/atom: 250
Fermi-level density of states in states/eV per cell: 7.276

Geometry as CIF:
```
data_MnBeFeNiPb
_space_group_name_H-M_alt 'C 1 m 1'
_space_group_IT_number 8
_cell_length_a 7.7022
_cell_length_b 3.4430
_cell_length_c 5.4963
_cell_angle_alpha 90.00
_cell_angle_beta 96.67
_cell_angle_gamma 90.00
loop_
_space_group_symop_operation_xyz
'x,y,z'
'x,-y,z'
'x+1/2,y+1/2,z'
'x+1/2,-y+1/2,z'
loop_
_atom_site_label
_atom_site_fract_x
_atom_site_fract_y
_atom_site_fract_z
_atom_site_occupancy
Mn1 0.0000 0.0000 0.0000 1
Be1 0.3048 0.0000 0.0952 1
Fe1 0.1445 0.5000 0.2786 1
Ni1 0.1939 0.5000 0.8338 1
Pb1 0.3744 0.0000 0.5749 1
```

---

Density functional theory data (PBE) for an optimized crystal structure of PaMnBeFe.

Values from the calculation:
Calculated volume in A^3/atom: 13.7
Energy of formation in meV/atom: 53
Fermi-level density of states in states/eV per cell: 18.356

Geometry as CIF:
```
data_PaMnBeFe
_space_group_name_H-M_alt 'F -4 3 m'
_space_group_IT_number 216
_space_group_name_Hall 'F -4 2 3'
_cell_length_a 6.0332
_cell_length_b 6.0332
_cell_length_c 6.0332
_cell_angle_alpha 90.00
_cell_angle_beta 90.00
_cell_angle_gamma 90.00
loop_
_atom_site_label
_atom_site_fract_x
_atom_site_fract_y
_atom_site_fract_z
_atom_site_occupancy
Pa1 0.0000 0.0000 0.0000 1
Mn1 0.2500 0.2500 0.7500 1
Be1 0.0000 0.0000 0.5000 1
Fe1 0.2500 0.2500 0.2500 1
```

---

Density functional theory data (PBE) for an optimized crystal structure of MnBeFe2Pb.

Values from the calculation:
Calculated volume in A^3/atom: 18.1
Energy of formation in meV/atom: 1415
Fermi-level density of states in states/eV per cell: 7.261

Geometry as CIF:
```
data_MnBeFe2Pb
_space_group_name_H-M_alt 'P 4/m m m'
_space_group_IT_number 123
_space_group_name_Hall '-P 4 2'
_cell_length_a 4.2659
_cell_length_b 4.2659
_cell_length_c 4.9759
_cell_angle_alpha 90.00
_cell_angle_beta 90.00
_cell_angle_gamma 90.00
loop_
_atom_site_label
_atom_site_fract_x
_atom_site_fract_y
_atom_site_fract_z
_atom_site_occupancy
Mn1 0.0000 0.0000 0.0000 1
Be1 0.5000 0.5000 0.5000 1
Fe1 0.0000 0.5000 0.0000 1
Pb1 0.0000 0.0000 0.5000 1
```

---

Density functional theory data (PBE) for an optimized crystal structure of MnBe2Fe5Re2.

Values from the calculation:
Calculated volume in A^3/atom: 10.7
Energy of formation in meV/atom: 37
Fermi-level density of states in states/eV per cell: 17.555

Geometry as CIF:
```
data_MnBe2Fe5Re2
_space_group_name_H-M_alt 'P 4/m b m'
_space_group_IT_number 127
_space_group_name_Hall '-P 4 2ab'
_cell_length_a 8.6737
_cell_length_b 8.6737
_cell_length_c 2.8333
_cell_angle_alpha 90.00
_cell_angle_beta 90.00
_cell_angle_gamma 90.00
loop_
_atom_site_label
_atom_site_fract_x
_atom_site_fract_y
_atom_site_fract_z
_atom_site_occupancy
Mn1 0.0000 0.0000 0.0000 1
Be1 0.1236 0.3764 0.0000 1
Fe1 0.0000 0.5000 0.5000 1
Fe2 0.0605 0.2066 0.5000 1
Re1 0.1774 0.6774 0.0000 1
```

---

Repeat the tenth record exactly.
Density functional theory data (PBE) for an optimized crystal structure of PaMnBeFe.

Values from the calculation:
Calculated volume in A^3/atom: 13.7
Energy of formation in meV/atom: 53
Fermi-level density of states in states/eV per cell: 18.356

Geometry as CIF:
```
data_PaMnBeFe
_space_group_name_H-M_alt 'F -4 3 m'
_space_group_IT_number 216
_space_group_name_Hall 'F -4 2 3'
_cell_length_a 6.0332
_cell_length_b 6.0332
_cell_length_c 6.0332
_cell_angle_alpha 90.00
_cell_angle_beta 90.00
_cell_angle_gamma 90.00
loop_
_atom_site_label
_atom_site_fract_x
_atom_site_fract_y
_atom_site_fract_z
_atom_site_occupancy
Pa1 0.0000 0.0000 0.0000 1
Mn1 0.2500 0.2500 0.7500 1
Be1 0.0000 0.0000 0.5000 1
Fe1 0.2500 0.2500 0.2500 1
```